Entry 1:
! MgTaOs2, relaxed, DFT GGA-PBE; values from VASP
&SYSTEM
  ibrav = 0, nat = 4, ntyp = 3
/
ATOMIC_SPECIES
Mg 24.30 Mg.upf
Ta 180.95 Ta.upf
Os 190.23 Os.upf
CELL_PARAMETERS angstrom
3.1908 0.0000 0.0000
0.0000 4.2226 0.0000
0.0000 0.0000 4.6856
ATOMIC_POSITIONS crystal
Mg 0.0000 0.0000 0.0000
Ta 0.5000 0.0000 0.5000
Os 0.0000 0.5000 0.5000
Os 0.5000 0.5000 0.0000
! volume = 63.13 Å³ per cell
! energy of formation from the pure elements = 0.272 eV per atom



Entry 2:
! AlNi2Te, relaxed, DFT GGA-PBE; values from VASP
&SYSTEM
  ibrav = 0, nat = 4, ntyp = 3
/
ATOMIC_SPECIES
Al 26.98 Al.upf
Ni 58.69 Ni.upf
Te 127.60 Te.upf
CELL_PARAMETERS angstrom
0.0000 3.1137 3.1137
3.1137 0.0000 3.1137
3.1137 3.1137 0.0000
ATOMIC_POSITIONS crystal
Al 0.0000 0.0000 0.0000
Ni 0.2500 0.2500 0.2500
Ni 0.7500 0.7500 0.7500
Te 0.5000 0.5000 0.5000
! energy relative to the elements, uncorrected = 11 meV/atom
! volume = 60.38 Å³ per cell
! offset from the most stable computed form = 172 meV per atom



Entry 3:
! Zr2SiBr, relaxed, DFT GGA-PBE; values from VASP
&SYSTEM
  ibrav = 0, nat = 4, ntyp = 3
/
ATOMIC_SPECIES
Zr 91.22 Zr.upf
Si 28.09 Si.upf
Br 79.90 Br.upf
CELL_PARAMETERS angstrom
-1.9453 1.9453 5.4449
1.9453 -1.9453 5.4449
1.9453 1.9453 -5.4449
ATOMIC_POSITIONS crystal
Zr 0.0000 0.0000 0.0000
Zr 0.7500 0.2500 0.5000
Si 0.5000 0.5000 0.0000
Br 0.2500 0.7500 0.5000
! energy relative to the elements, uncorrected = -85 meV/atom
! volume = 82.42 Å³ per cell
! offset from the most stable computed form = 557 meV per atom



Entry 4:
! LaDySO2, relaxed, DFT GGA-PBE; values from VASP
&SYSTEM
  ibrav = 0, nat = 10, ntyp = 4
/
ATOMIC_SPECIES
La 138.91 La.upf
Dy 162.50 Dy.upf
S 32.06 S.upf
O 16.00 O.upf
CELL_PARAMETERS angstrom
6.5458 0.0000 0.0000
0.0000 4.0907 0.0000
-2.5314 0.0000 7.3017
ATOMIC_POSITIONS crystal
La 0.1987 0.2500 0.4320
La 0.8013 0.7500 0.5680
Dy 0.1801 0.2500 0.9255
Dy 0.8199 0.7500 0.0745
S 0.4551 0.7500 0.7513
S 0.5449 0.2500 0.2487
O 0.0155 0.7500 0.3711
O 0.0187 0.7500 0.8895
O 0.9813 0.2500 0.1105
O 0.9845 0.2500 0.6289
! energy relative to the elements, uncorrected = -3128 meV/atom
! volume = 195.52 Å³ per cell



Entry 5:
! Sm2ZnPd, relaxed, DFT GGA-PBE; values from VASP
&SYSTEM
  ibrav = 0, nat = 8, ntyp = 3
/
ATOMIC_SPECIES
Sm 150.36 Sm.upf
Zn 65.41 Zn.upf
Pd 106.42 Pd.upf
CELL_PARAMETERS angstrom
5.9626 0.0000 0.0000
0.0000 4.6321 0.0000
-2.8923 0.0000 7.0563
ATOMIC_POSITIONS crystal
Sm 0.1838 0.2500 0.4164
Sm 0.2871 0.7500 0.0752
Sm 0.7129 0.2500 0.9248
Sm 0.8162 0.7500 0.5836
Zn 0.3720 0.7500 0.7042
Zn 0.6280 0.2500 0.2958
Pd 0.1550 0.2500 0.7921
Pd 0.8450 0.7500 0.2079
! volume = 194.89 Å³ per cell
! energy of formation from the pure elements = -0.566 eV per atom
! offset from the most stable computed form = 0 meV per atom



Entry 6:
! LiMn2, relaxed, DFT GGA-PBE; values from VASP
&SYSTEM
  ibrav = 0, nat = 6, ntyp = 2
/
ATOMIC_SPECIES
Li 6.94 Li.upf
Mn 54.94 Mn.upf
CELL_PARAMETERS angstrom
-2.7530 2.7530 2.0847
2.7530 -2.7530 2.0847
2.7530 2.7530 -2.0847
ATOMIC_POSITIONS crystal
Li 0.2500 0.2500 0.0000
Li 0.7500 0.7500 0.0000
Mn 0.1411 0.6411 0.7821
Mn 0.3589 0.1411 0.5000
Mn 0.6411 0.8589 0.5000
Mn 0.8589 0.3589 0.2179
! volume = 63.20 Å³ per cell
! energy of formation from the pure elements = 0.660 eV per atom



Entry 7:
! BeGeSeBr2, relaxed, DFT GGA-PBE; values from VASP
&SYSTEM
  ibrav = 0, nat = 5, ntyp = 4
/
ATOMIC_SPECIES
Be 9.01 Be.upf
Ge 72.64 Ge.upf
Se 78.96 Se.upf
Br 79.90 Br.upf
CELL_PARAMETERS angstrom
4.6445 0.0000 0.0000
0.0000 4.6445 0.0000
0.0000 0.0000 5.0918
ATOMIC_POSITIONS crystal
Be 0.0000 0.0000 0.0000
Ge 0.5000 0.5000 0.5000
Se 0.0000 0.0000 0.5000
Br 0.0000 0.5000 0.0000
Br 0.5000 0.0000 0.0000
! energy relative to the elements, uncorrected = -25 meV/atom
! volume = 109.84 Å³ per cell
! offset from the most stable computed form = 0 meV per atom



Entry 8:
! Tm4Ga, relaxed, DFT GGA-PBE; values from VASP
&SYSTEM
  ibrav = 0, nat = 5, ntyp = 2
/
ATOMIC_SPECIES
Tm 168.93 Tm.upf
Ga 69.72 Ga.upf
CELL_PARAMETERS angstrom
5.4310 0.0000 0.0000
0.0000 5.4310 0.0000
0.0000 0.0000 5.4310
ATOMIC_POSITIONS crystal
Tm 0.0000 0.0000 0.0000
Tm 0.0000 0.5000 0.5000
Tm 0.5000 0.0000 0.5000
Tm 0.5000 0.5000 0.0000
Ga 0.5000 0.5000 0.5000
! volume = 160.19 Å³ per cell
! energy of formation from the pure elements = 0.146 eV per atom
! offset from the most stable computed form = 246 meV per atom



Number 1: uncorrected energy -8.705 eV per atom. Number 2: uncorrected energy -4.600 eV per atom. Number 3: uncorrected energy -6.133 eV per atom. Number 4: uncorrected energy -7.842 eV per atom. Number 5: uncorrected energy -4.542 eV per atom. Number 6: uncorrected energy -6.091 eV per atom. Number 7: uncorrected energy -3.060 eV per atom. Number 8: uncorrected energy -4.037 eV per atom.